Material: Rb2HfSeF6
Method: DFT, PBE
State: optimized geometry

Output
The density of states at the Fermi level comes out at 0.00 states/eV per cell. The uncorrected formation energy comes out at -2.788 eV per atom. The value obtained for the magnetization is 4.0 Bohr magnetons per cell. The calculation puts the volume at 24.143 Å³ per atom.

abc: 6.7556 6.7556 10.5805
angles: 90.00 90.00 90.00
Last column: nearest neighbours and their distance in Å.
Space group I4/mmm (No. 139)
One atom of each set of equivalent atoms:
1 Rb 0.0000 0.5000 0.2500 [4 per cell]  12 F 3.44-3.58
2 Hf 0.0000 0.0000 0.0000 [2 per cell]  6 F 2.00
3 Se 0.0000 0.0000 0.5000 [2 per cell]  4 F 2.77
4 F 0.0000 0.0000 0.1895 [4 per cell]  1 Hf 2.00
5 F 0.2097 0.2097 0.0000 [8 per cell]  1 Hf 2.00

Material: ThAl
Method: DFT, PBE
State: optimized geometry

Output
The density of states at the Fermi level comes out at 8.83 states/eV per cell. Its formation energy from the elements is -0.63 eV per formula unit. The value obtained for the magnetization is 0.0 Bohr magnetons per cell. The calculation puts the volume at 26.716 Å³ per atom.

abc: 8.2722 4.2079 6.1401
angles: 90.00 90.00 90.00
Last column: nearest neighbours and their distance in Å.
Space group Pnma (No. 62)
One atom of each set of equivalent atoms:
1 Th 0.1751 0.2500 0.1157 [4 per cell]  7 Al 3.17-3.33
2 Al 0.0362 0.2500 0.6231 [4 per cell]  2 Al 2.66

Material: Cr2As2Pt
Method: DFT, PBE
State: optimized geometry

Output
The density of states at the Fermi level comes out at 9.25 states/eV per cell. Its formation energy from the elements is 0.12 eV per formula unit. The value obtained for the magnetization is 8.5 Bohr magnetons per cell. The calculation puts the volume at 14.754 Å³ per atom.

abc: 7.0323 7.0323 2.9835
angles: 90.00 90.00 90.00
Last column: nearest neighbours and their distance in Å.
Space group P4/mbm (No. 127)
One atom of each set of equivalent atoms:
1 Cr 0.1407 0.3593 0.0000 [4 per cell]  6 As 2.51-2.57, 1 Cr 2.80
2 As 0.1557 0.6557 0.5000 [4 per cell]  6 Cr 2.51-2.57, 2 Pt 2.66
3 Pt 0.0000 0.0000 0.5000 [2 per cell]  4 As 2.66

Material: Li2CuSn
Method: DFT, PBE
State: optimized geometry

Output
The density of states at the Fermi level comes out at 5.88 states/eV per cell. Its formation energy from the elements is -1.31 eV per formula unit. The value obtained for the magnetization is 0.0 Bohr magnetons per cell. The calculation puts the volume at 15.661 Å³ per atom.

abc: 6.3045 6.3045 6.3045
angles: 90.00 90.00 90.00
Last column: nearest neighbours and their distance in Å.
Space group F-43m (No. 216)
One atom of each set of equivalent atoms:
1 Li 0.0000 0.0000 0.0000 [4 per cell]  4 Li 2.73, 4 Sn 2.73
2 Li 0.2500 0.2500 0.2500 [4 per cell]  4 Cu 2.73, 4 Li 2.73
3 Cu 0.0000 0.0000 0.5000 [4 per cell]  4 Sn 2.73, 4 Li 2.73
4 Sn 0.2500 0.2500 0.7500 [4 per cell]  4 Li 2.73, 4 Cu 2.73

Material: SmHg2Pd6
Method: DFT, PBE
State: optimized geometry

Output
The density of states at the Fermi level comes out at 6.94 states/eV per cell. Its formation energy from the elements is -3.43 eV per formula unit. The value obtained for the magnetization is 0.0 Bohr magnetons per cell. The calculation puts the volume at 17.939 Å³ per atom.

abc: 9.1507 4.2567 8.6601
angles: 90.00 106.81 90.00
Last column: nearest neighbours and their distance in Å.
Space group C2/m (No. 12)
One atom of each set of equivalent atoms:
1 Sm 0.0000 0.0000 0.0000 [2 per cell]  8 Pd 2.90-3.02, 4 Hg 3.15
2 Hg 0.1930 0.5000 0.2436 [4 per cell]  10 Pd 2.79-3.08
3 Pd 0.0157 0.0000 0.3394 [4 per cell]  3 Hg 2.83-2.94, 8 Pd 2.87-2.97, 1 Sm 2.90
4 Pd 0.1564 0.5000 0.5522 [4 per cell]  9 Pd 2.74-3.03, 3 Hg 2.79-2.85
5 Pd 0.1556 0.5000 0.8788 [4 per cell]  5 Pd 2.83-3.13, 4 Hg 2.90-3.08, 3 Sm 2.92-3.02

Material: CaSmSnHg
Method: DFT, PBE
State: optimized geometry

Output
The density of states at the Fermi level comes out at 13.43 states/eV per cell. Its formation energy from the elements is -2.39 eV per formula unit. The value obtained for the magnetization is 0.0 Bohr magnetons per cell. The calculation puts the volume at 27.840 Å³ per atom.

abc: 7.6372 7.6372 7.6372
angles: 90.00 90.00 90.00
Last column: nearest neighbours and their distance in Å.
Space group F-43m (No. 216)
One atom of each set of equivalent atoms:
1 Ca 0.0000 0.0000 0.0000 [4 per cell]  4 Sn 3.31, 4 Hg 3.31
2 Sm 0.0000 0.0000 0.5000 [4 per cell]  4 Hg 3.31, 4 Sn 3.31
3 Sn 0.2500 0.2500 0.7500 [4 per cell]  4 Ca 3.31, 4 Sm 3.31
4 Hg 0.2500 0.2500 0.2500 [4 per cell]  4 Ca 3.31, 4 Sm 3.31

> Look up the magnetization of the first one.

4.0 Bohr magnetons per cell